BaZrBe GGA-PBEsol relaxed; electronic total energy = -12.2 eV/cell; ρ = 4.942 g cm⁻³; E_form = 1.01 eV per atom
1.0
-2.257 3.316 -2.696
-4.614 1.117 0.904
-1.117 4.303 1.895
Be Zr Ba
1 1 1
direct
0.750 0.750 0.750
0.000 0.000 0.000
0.500 0.500 0.500